Record 1
CrAgH2: relaxed, PBE.

Cell and atoms, written as POSCAR:
```
CrAgH2
1.0
4.3232 0.0000 0.0000
0.0000 4.3232 0.0000
2.1616 2.1616 4.4139
Cr H Ag
2 4 2
Direct
0.5000 0.5000 0.0000
0.2500 0.7500 0.5000
0.1915 0.6250 0.2500
0.5585 0.1250 0.2500
0.3750 0.4415 0.7500
0.8750 0.8085 0.7500
0.0000 0.0000 0.0000
0.7500 0.2500 0.5000
```

Calculated values
DFT total energy, Ry per atom: -0.3279
Calculated volume, Å³ per atom: 10.312
Density of states at the Fermi level, states/eV per cell: 3.4

***

Record 2
CrAgH3: relaxed, PBE.

Cell and atoms, written as POSCAR:
```
CrAgH3
1.0
3.5103 0.0000 0.0000
0.0000 3.5103 0.0000
0.0000 0.0000 3.5103
Ag Cr H
1 1 3
Direct
0.5000 0.5000 0.5000
0.0000 0.0000 0.0000
0.5000 0.0000 0.0000
0.0000 0.0000 0.5000
0.0000 0.5000 0.0000
```

Calculated values
DFT total energy, Ry per atom: -0.3113
Calculated volume, Å³ per atom: 8.651
Density of states at the Fermi level, states/eV per cell: 1.3

***

Record 3
CrAgH3: relaxed, PBE.

Cell and atoms, written as POSCAR:
```
CrAgH3
1.0
3.6536 0.0000 0.0000
0.0000 3.6536 0.0000
0.0000 0.0000 3.6536
Cr Ag H
1 1 3
Direct
0.5000 0.5000 0.5000
0.0000 0.0000 0.0000
0.0000 0.5000 0.0000
0.0000 0.0000 0.5000
0.5000 0.0000 0.0000
```

Calculated values
DFT total energy, Ry per atom: -0.2862
Calculated volume, Å³ per atom: 9.754
Density of states at the Fermi level, states/eV per cell: 1.4

***

Record 4
Cr3AgH: relaxed, PBE.

Cell and atoms, written as POSCAR:
```
Cr3AgH
1.0
3.7786 0.0000 0.0000
0.0000 3.7786 0.0000
0.0000 0.0000 3.7786
H Cr Ag
1 3 1
Direct
0.0000 0.0000 0.0000
0.0000 0.0000 0.5000
0.5000 0.0000 0.0000
0.0000 0.5000 0.0000
0.5000 0.5000 0.5000
```

Calculated values
DFT total energy, Ry per atom: -0.4847
Calculated volume, Å³ per atom: 10.790
Density of states at the Fermi level, states/eV per cell: 3.2

***

Record 5
CrAg2H2: relaxed, PBE.

Cell and atoms, written as POSCAR:
```
CrAg2H2
1.0
-1.6547 -2.3607 -3.5467
3.6026 1.2560 -2.5168
2.5287 -3.0861 -2.0706
Cr H Ag
1 2 2
Direct
0.0000 0.0000 0.0000
0.7158 0.7158 0.5683
0.2842 0.2842 0.4317
0.2500 0.7500 0.5000
0.7500 0.2500 0.5000
```

Calculated values
DFT total energy, Ry per atom: -0.2813
Calculated volume, Å³ per atom: 13.053
Density of states at the Fermi level, states/eV per cell: 1.8

***

Record 6
Cr2AgH2: relaxed, PBE.

Cell and atoms, written as POSCAR:
```
Cr2AgH2
1.0
-1.5448 -1.8562 -2.1705
-2.1173 -0.9118 2.2866
-4.4563 2.0448 -1.0057
H Cr Ag
2 2 1
Direct
0.2500 0.7500 0.5000
0.7500 0.2500 0.5000
0.6761 0.6761 0.6477
0.3239 0.3239 0.3523
0.0000 0.0000 0.0000
```

Calculated values
DFT total energy, Ry per atom: -0.4007
Calculated volume, Å³ per atom: 9.378
Density of states at the Fermi level, states/eV per cell: 3.6

***

Record 7
CrAg2H2: relaxed, PBE.

Cell and atoms, written as POSCAR:
```
CrAg2H2
1.0
5.4382 0.0000 0.0000
0.0000 5.4382 0.0000
0.0000 0.0000 4.1930
Ag H Cr
4 4 2
Direct
0.6907 0.8093 0.5000
0.1907 0.6907 0.5000
0.8093 0.3093 0.5000
0.3093 0.1907 0.5000
0.7838 0.2838 0.0000
0.7162 0.7838 0.0000
0.2838 0.2162 0.0000
0.2162 0.7162 0.0000
0.5000 0.5000 0.0000
0.0000 0.0000 0.0000
```

Calculated values
DFT total energy, Ry per atom: -0.3021
Calculated volume, Å³ per atom: 12.401
Density of states at the Fermi level, states/eV per cell: 3.0

***

Record 8
CrAg3H: relaxed, PBE.

Cell and atoms, written as POSCAR:
```
CrAg3H
1.0
5.1419 0.0000 0.0000
0.0000 5.1419 0.0000
0.0000 0.0000 5.1419
H Cr Ag
1 1 3
Direct
0.5000 0.5000 0.5000
0.0000 0.0000 0.0000
0.0000 0.5000 0.0000
0.0000 0.0000 0.5000
0.5000 0.0000 0.0000
```

Calculated values
DFT total energy, Ry per atom: -0.2072
Calculated volume, Å³ per atom: 27.189
Density of states at the Fermi level, states/eV per cell: 2.6

***

Record 9
CrAg3H: relaxed, PBE.

Cell and atoms, written as POSCAR:
```
CrAg3H
1.0
4.2004 0.0000 0.0000
0.0000 4.2004 0.0000
0.0000 0.0000 4.2004
Ag Cr H
3 1 1
Direct
0.5000 0.0000 0.0000
0.0000 0.5000 0.0000
0.0000 0.0000 0.5000
0.5000 0.5000 0.5000
0.0000 0.0000 0.0000
```

Calculated values
DFT total energy, Ry per atom: -0.2846
Calculated volume, Å³ per atom: 14.822
Density of states at the Fermi level, states/eV per cell: 1.7

***

Record 10
CrAgH2: relaxed, PBE.

Cell and atoms, written as POSCAR:
```
CrAgH2
1.0
0.0000 2.7293 2.7293
2.7293 0.0000 2.7293
2.7293 2.7293 0.0000
H Cr Ag
2 1 1
Direct
0.7500 0.7500 0.7500
0.2500 0.2500 0.2500
0.0000 0.0000 0.0000
0.5000 0.5000 0.5000
```

Calculated values
DFT total energy, Ry per atom: -0.3055
Calculated volume, Å³ per atom: 10.165
Density of states at the Fermi level, states/eV per cell: 1.0

***

Record 11
Cr2AgH: relaxed, PBE.

Cell and atoms, written as POSCAR:
```
Cr2AgH
1.0
5.1200 0.0000 0.0000
0.0000 5.1200 0.0000
2.5600 2.5600 3.6229
H Cr Ag
2 4 2
Direct
0.2500 0.7500 0.5000
0.5000 0.5000 0.0000
0.3745 0.6250 0.2500
0.3750 0.6245 0.7500
0.8750 0.6255 0.7500
0.3755 0.1250 0.2500
0.7500 0.2500 0.5000
0.0000 0.0000 0.0000
```

Calculated values
DFT total energy, Ry per atom: -0.4197
Calculated volume, Å³ per atom: 11.872
Density of states at the Fermi level, states/eV per cell: 7.3

***

Record 12
Cr2AgH: relaxed, PBE.

Cell and atoms, written as POSCAR:
```
Cr2AgH
1.0
-4.0104 -0.8983 -0.2703
-2.7672 3.0266 -0.3810
-1.9936 0.5309 -3.5647
H Ag Cr
1 1 2
Direct
0.0000 0.0000 0.0000
0.5000 0.5000 0.5000
0.2500 0.2500 0.2500
0.7500 0.7500 0.7500
```

Calculated values
DFT total energy, Ry per atom: -0.3681
Calculated volume, Å³ per atom: 12.350
Density of states at the Fermi level, states/eV per cell: 6.2

***

Record 13
CrAg2H: relaxed, PBE.

Cell and atoms, written as POSCAR:
```
CrAg2H
1.0
6.6895 0.0000 0.0000
0.0000 6.6895 0.0000
3.3448 3.3448 2.5860
Ag Cr H
4 2 2
Direct
0.3750 0.4715 0.7500
0.2215 0.6250 0.2500
0.5285 0.1250 0.2500
0.8750 0.7785 0.7500
0.7500 0.2500 0.5000
0.0000 0.0000 0.0000
0.2500 0.7500 0.5000
0.5000 0.5000 0.0000
```

Calculated values
DFT total energy, Ry per atom: -0.3028
Calculated volume, Å³ per atom: 14.465
Density of states at the Fermi level, states/eV per cell: 3.6

***

Record 14
CrAg2H: relaxed, PBE.

Cell and atoms, written as POSCAR:
```
CrAg2H
1.0
-1.4219 -4.1952 0.0289
-2.2653 -1.5470 3.4782
-4.3252 -0.8754 -0.3855
H Cr Ag
1 1 2
Direct
0.0000 0.0000 0.0000
0.5000 0.5000 0.5000
0.7500 0.7500 0.7500
0.2500 0.2500 0.2500
```

Calculated values
DFT total energy, Ry per atom: -0.2760
Calculated volume, Å³ per atom: 15.366
Density of states at the Fermi level, states/eV per cell: 1.8

***

Record 15
HfCrAgH2: relaxed, PBE.

Cell and atoms, written as POSCAR:
```
HfCrAgH2
1.0
-1.1230 -2.9304 -2.1069
5.2462 -0.8995 -1.5451
0.4750 -2.3073 2.9560
H Cr Ag Hf
2 1 1 1
Direct
0.5000 0.0000 0.0000
0.0000 0.0000 0.5000
0.5000 0.5000 0.5000
0.0000 0.5000 0.0000
0.0000 0.0000 0.0000
```

Calculated values
DFT total energy, Ry per atom: -0.3899
Calculated volume, Å³ per atom: 15.838
Density of states at the Fermi level, states/eV per cell: 2.9

***

Record 16
CrAg2HIr: relaxed, PBE.

Cell and atoms, written as POSCAR:
```
CrAg2HIr
1.0
-1.5766 2.7054 2.4758
-3.4733 0.1056 -2.3273
-1.5680 -2.9334 2.2070
Ag Ir H Cr
2 1 1 1
Direct
0.0000 0.0000 0.5000
0.5000 0.0000 0.0000
0.5000 0.5000 0.5000
0.0000 0.0000 0.0000
0.0000 0.5000 0.0000
```

Calculated values
DFT total energy, Ry per atom: -0.3690
Calculated volume, Å³ per atom: 13.329
Density of states at the Fermi level, states/eV per cell: 3.8

***

Record 17
Na2CrAgH6: relaxed, PBE.

Cell and atoms, written as POSCAR:
```
Na2CrAgH6
1.0
5.2888 -0.0011 0.0003
-0.0012 5.2888 0.0003
2.6440 2.6441 3.7330
Cr H Na Ag
1 6 2 1
Direct
0.0000 0.0000 0.0000
0.2333 0.7668 0.0000
0.7667 0.2332 0.0000
0.2337 0.2337 0.5325
0.7670 0.7667 0.9997
0.7663 0.7663 0.4675
0.2330 0.2333 0.0003
0.7500 0.2500 0.5000
0.2500 0.7500 0.5000
0.5000 0.5000 0.0000
```

Calculated values
DFT total energy, Ry per atom: -0.2615
Calculated volume, Å³ per atom: 10.441

***

Record 18
Nb2CrAgH: relaxed, PBE.

Cell and atoms, written as POSCAR:
```
Nb2CrAgH
1.0
4.2109 0.0000 0.0000
0.0000 4.2109 0.0000
0.0000 0.0000 3.8203
Ag H Nb Cr
1 1 2 1
Direct
0.5000 0.5000 0.5000
0.0000 0.0000 0.0000
0.5000 0.0000 0.0000
0.0000 0.5000 0.0000
0.0000 0.0000 0.5000
```

Calculated values
DFT total energy, Ry per atom: -0.5136
Calculated volume, Å³ per atom: 13.548
Density of states at the Fermi level, states/eV per cell: 4.6

***

Record 19
Nb2CrAgH: relaxed, PBE.

Cell and atoms, written as POSCAR:
```
Nb2CrAgH
1.0
-1.3276 0.7033 -4.7731
-3.3261 -3.1758 0.4572
-3.2105 3.5666 1.4185
Nb H Cr Ag
2 1 1 1
Direct
0.0000 0.0000 0.5000
0.5000 0.0000 0.0000
0.5000 0.5000 0.5000
0.0000 0.5000 0.0000
0.0000 0.0000 0.0000
```

Calculated values
DFT total energy, Ry per atom: -0.3343
Calculated volume, Å³ per atom: 23.144
Density of states at the Fermi level, states/eV per cell: 7.0

***

Record 20
Cr2AgHPb: relaxed, PBE.

Cell and atoms, written as POSCAR:
```
Cr2AgHPb
1.0
-0.7429 -3.4275 -4.1335
3.6703 -3.4045 2.1634
-3.9401 -2.4872 2.7705
Cr Ag Pb H
2 1 1 1
Direct
0.5000 0.0000 0.0000
0.0000 0.0000 0.5000
0.0000 0.5000 0.0000
0.0000 0.0000 0.0000
0.5000 0.5000 0.5000
```

Calculated values
DFT total energy, Ry per atom: -0.3091
Calculated volume, Å³ per atom: 32.052
Density of states at the Fermi level, states/eV per cell: 2.1